No. 1
CoHg2P: relaxed, PBE.

Cell lengths 8.998, 8.998, 8.998 Å; angles 19.83, 19.83, 19.83 degrees
Fractional coordinates of all 4 atoms:
Co 0.000 0.000 0.000
Hg 0.256 0.256 0.256
Hg 0.744 0.744 0.744
P 0.500 0.500 0.500

Summary:
SG: R-3m (166)

No. 2
Co2HgP: relaxed, PBE.

Cell lengths 2.772, 2.772, 6.841 Å; angles 90.00, 90.00, 90.00 degrees
Fractional coordinates of all 4 atoms:
Co 0.000 0.000 0.181
Co 0.000 0.000 0.819
Hg 0.500 0.500 0.500
P 0.500 0.500 0.000

Summary:
SG: P4/mmm (123)
Relative energy among the computed polymorphs in eV per formula unit: 0.33

No. 3
CoHg4P: relaxed, PBE.

Cell lengths 5.729, 5.729, 5.729 Å; angles 60.00, 60.00, 60.00 degrees
Fractional coordinates of all 6 atoms:
Co 0.000 0.000 0.000
Hg 0.124 0.625 0.625
Hg 0.625 0.124 0.625
Hg 0.625 0.625 0.124
Hg 0.625 0.625 0.625
P 0.250 0.250 0.250

Summary:
SG: F-43m (216)

No. 4
Co3HgP: relaxed, PBE.

Cell lengths 4.176, 4.176, 4.176 Å; angles 90.00, 90.00, 90.00 degrees
Fractional coordinates of all 5 atoms:
Co 0.000 0.000 0.500
Co 0.000 0.500 0.000
Co 0.500 0.000 0.000
Hg 0.500 0.500 0.500
P 0.000 0.000 0.000

Summary:
SG: Pm-3m (221)

| no. | electronic total energy (eV/cell) | formation energy from the elements (kJ/mol of formula units) |
| --- | --- | --- |
| 1 | -10.51 | 251 |
| 2 | -20.02 | -9 |
| 3 | -8.27 | 526 |
| 4 | -25.96 | 103 |